Here is an optimized crystal structure of CsCeGe2I8 from the Alexandria database. Energies are from PBE. Values from VASP.

The structure in Quantum ESPRESSO input format:
```
&SYSTEM
  ibrav = 0, nat = 12, ntyp = 4
/
ATOMIC_SPECIES
Cs 132.91 Cs.upf
Ce 140.12 Ce.upf
Ge 72.64 Ge.upf
I 126.90 I.upf
ATOMIC_POSITIONS angstrom
Cs 0.0000 0.0000 0.0000
Ce -0.0734 -0.4361 5.5290
Ge 2.7288 3.9861 3.2821
Ge 3.6122 2.9623 7.7760
I 1.1248 4.8616 5.4040
I 1.5960 1.0534 3.3699
I 1.3050 4.6229 1.1139
I 1.7268 0.6126 7.9080
I 4.6142 6.3358 3.1500
I 5.0360 2.3255 9.9441
I 4.7450 5.8950 7.6882
I 5.2162 2.0868 5.6540
CELL_PARAMETERS angstrom
7.2782 0.0000 0.0000
-0.7903 7.8205 0.0000
-0.1469 -0.8721 11.0580
```

density = 3782 kg/m3
size of the total moment = 1.0 μB/f.u.
symmetry = P-1 (2)
crystal system = triclinic
energy relative to the elements, uncorrected = -812 meV per atom